[1]
The following is a DFT calculation (SCAN) of a PBEsol-optimized structure of NaAlOsI2.

Summary:
formation energy (no corrections): 1.2841 eV per atom
raw total energy: -150.91 eV per cell
D(E_F): 0.222 states/eV/atom

a b c (Å): 5.6289 5.6289 5.4069
angles (deg): 90.00 90.00 90.00
Last column: nearest neighbours and their distance in Å.
Space group P4/mmm (No. 123)
One atom of each set of equivalent atoms:
Na1 0.0000 0.0000 0.0000  2 Os 2.70, 4 I 2.81
Al1 0.5000 0.5000 0.5000  8 I 3.90, 4 Os 3.98
Os1 0.0000 0.0000 0.5000  2 Na 2.70
I1 0.0000 0.5000 0.0000  2 Na 2.81

[2]
The following is a DFT calculation (SCAN) of a PBEsol-optimized structure of YMnCl.

Summary:
formation energy (no corrections): -0.8074 eV per atom
raw total energy: -56.50 eV per cell
D(E_F): 0.284 states/eV/atom

a b c (Å): 3.4728 3.4728 6.3676
angles (deg): 90.00 90.00 120.00
Last column: nearest neighbours and their distance in Å.
Space group P3m1 (No. 156)
One atom of each set of equivalent atoms:
Y1 0.0000 0.0000 0.0000  3 Cl 2.78, 3 Mn 2.94
Mn1 0.6667 0.3333 0.3378  3 Y 2.94, 3 Cl 3.05
Cl1 0.3333 0.6667 0.6981  3 Y 2.78, 3 Mn 3.05

[3]
The following is a DFT calculation (SCAN) of a PBEsol-optimized structure of Na2IrO3.

Summary:
formation energy (no corrections): -1.3814 eV per atom
raw total energy: -426.05 eV per cell
D(E_F): 0.139 states/eV/atom

a b c (Å): 5.4729 9.4536 5.5617
angles (deg): 90.00 109.52 90.00
Last column: nearest neighbours and their distance in Å.
Space group C2/m (No. 12)
One atom of each set of equivalent atoms:
Na1 0.0000 0.0000 0.0000  6 O 2.28
Na2 0.0000 0.1598 0.5000  6 O 2.28-2.49
Na3 0.0000 0.5000 0.5000  6 O 2.26-2.46
Ir1 0.0000 0.3331 0.0000  6 O 2.04-2.05
O1 0.2036 0.5000 0.2066  2 Ir 2.05, 2 Na 2.26-2.28
O2 0.2466 0.3158 0.7957  2 Ir 2.04, 1 Na 2.28

[4]
The following is a DFT calculation (SCAN) of a PBEsol-optimized structure of Li5Cr.

Summary:
calculated formation energy: 292 meV/atom
raw total energy: -28.58 eV per cell
D(E_F): 0.385 states/eV/atom

a b c (Å): 5.2652 5.2652 4.7490
angles (deg): 90.00 90.00 120.00
Last column: nearest neighbours and their distance in Å.
Space group P6/mmm (No. 191)
One atom of each set of equivalent atoms:
Li1 0.0000 0.5000 0.0000  8 Li 2.63-2.82
Li2 0.3333 0.6667 0.5000  9 Li 2.82-3.04, 3 Cr 3.04
Cr1 0.0000 0.0000 0.5000  6 Li 3.04

[5]
The following is a DFT calculation (SCAN) of a PBEsol-optimized structure of ZrSbRu.

Summary:
formation energy (no corrections): -0.7394 eV per atom
raw total energy: -420.02 eV per cell
D(E_F): 1.413 states/eV/atom

a b c (Å): 6.2652 6.2652 6.2652
angles (deg): 90.00 90.00 90.00
Last column: nearest neighbours and their distance in Å.
Space group F-43m (No. 216)
One atom of each set of equivalent atoms:
Zr1 0.0000 0.0000 0.0000  4 Ru 2.71
Sb1 0.0000 0.0000 0.5000  4 Ru 2.71
Ru1 0.2500 0.2500 0.7500  4 Zr 2.71, 4 Sb 2.71

[6]
The following is a DFT calculation (SCAN) of a PBEsol-optimized structure of CoCl.

Summary:
formation energy (no corrections): 0.0328 eV per atom
raw total energy: -50.43 eV per cell
D(E_F): 0.414 states/eV/atom

a b c (Å): 2.9034 2.9034 7.3911
angles (deg): 90.00 90.00 90.00
Last column: nearest neighbours and their distance in Å.
Space group P4/nmm (No. 129, origin choice 2)
One atom of each set of equivalent atoms:
Co1 0.2500 0.2500 0.1056  4 Cl 2.46, 4 Co 2.58
Cl1 0.2500 0.2500 0.7120  4 Co 2.46

[7]
The following is a DFT calculation (SCAN) of a PBEsol-optimized structure of InRe2P2.

Summary:
calculated formation energy: 27 meV/atom
raw total energy: -392.48 eV per cell
D(E_F): 0.358 states/eV/atom

a b c (Å): 3.6616 3.6616 11.7169
angles (deg): 90.00 90.00 90.00
Last column: nearest neighbours and their distance in Å.
Space group I4/mmm (No. 139)
One atom of each set of equivalent atoms:
In1 0.0000 0.0000 0.0000  8 Re 2.96
Re1 0.0000 0.0000 0.3779  4 P 2.37
P1 0.0000 0.5000 0.2500  4 Re 2.37, 4 P 2.59

[8]
The following is a DFT calculation (SCAN) of a PBEsol-optimized structure of Sc3RuC4.

Summary:
calculated formation energy: -574 meV/atom
raw total energy: -245.05 eV per cell
D(E_F): 0.316 states/eV/atom

a b c (Å): 3.2845 4.4697 12.2847
angles (deg): 90.00 90.00 90.00
Last column: nearest neighbours and their distance in Å.
Space group Immm (No. 71)
One atom of each set of equivalent atoms:
Sc1 0.0000 0.0000 0.0000  8 C 2.39
Sc2 0.0000 0.5000 0.1900  6 C 2.34-2.36
Ru1 0.0000 0.0000 0.5000  4 C 2.19
C1 0.0000 0.3398 0.3716  1 C 1.43

[9]
The following is a DFT calculation (SCAN) of a PBEsol-optimized structure of ZrAlRe2.

Summary:
calculated formation energy: -153 meV/atom
raw total energy: -362.51 eV per cell
D(E_F): 0.560 states/eV/atom

a b c (Å): 3.2187 4.5240 8.7911
angles (deg): 90.00 90.00 90.00
Last column: nearest neighbours and their distance in Å.
Space group Immm (No. 71)
One atom of each set of equivalent atoms:
Zr1 0.0000 0.0000 0.0000  4 Re 2.70, 4 Al 2.78
Al1 0.0000 0.0000 0.5000  4 Re 2.75, 4 Zr 2.78
Re1 0.0000 0.5000 0.2532  2 Zr 2.70, 2 Al 2.75, 4 Re 2.78

[10]
The following is a DFT calculation (SCAN) of a PBEsol-optimized structure of Mn2C.

Summary:
calculated formation energy: -125 meV/atom
raw total energy: -140.96 eV per cell
D(E_F): 0.600 states/eV/atom

a b c (Å): 4.7276 4.7276 4.3557
angles (deg): 90.00 90.00 120.00
Last column: nearest neighbours and their distance in Å.
Space group P-31m (No. 162)
One atom of each set of equivalent atoms:
Mn1 0.0000 0.3442 0.2587  3 C 1.92-1.94
C1 0.0000 0.0000 0.5000  6 Mn 1.94
C2 0.3333 0.6667 0.0000  6 Mn 1.92

[11]
The following is a DFT calculation (SCAN) of a PBEsol-optimized structure of MnB2Pt2.

Summary:
calculated formation energy: -334 meV/atom
raw total energy: -350.34 eV per cell
D(E_F): 0.283 states/eV/atom

a b c (Å): 3.2067 3.2067 11.6074
angles (deg): 90.00 90.00 90.00
Last column: nearest neighbours and their distance in Å.
Space group I4/mmm (No. 139)
One atom of each set of equivalent atoms:
Mn1 0.0000 0.0000 0.0000  8 Pt 2.70
B1 0.0000 0.5000 0.2500  4 Pt 2.15, 4 B 2.27
Pt1 0.0000 0.0000 0.3740  4 B 2.15

[12]
The following is a DFT calculation (SCAN) of a PBEsol-optimized structure of ScPRu2.

Summary:
calculated formation energy: -373 meV/atom
raw total energy: -95.78 eV per cell
D(E_F): 0.800 states/eV/atom

a b c (Å): 2.8951 2.8951 6.9130
angles (deg): 90.00 90.00 90.00
Last column: nearest neighbours and their distance in Å.
Space group P4mm (No. 99)
One atom of each set of equivalent atoms:
Sc1 0.0000 0.0000 0.0000  4 Ru 2.77, 4 P 2.86, 4 Sc 2.90
P1 0.5000 0.5000 0.2890  4 Ru 2.38
Ru1 0.0000 0.0000 0.4633  4 P 2.38
Ru2 0.5000 0.5000 0.7298  8 Ru 2.75-2.90, 4 Sc 2.77, 1 P 3.05

Please write out number 12 again, unchanged.
The following is a DFT calculation (SCAN) of a PBEsol-optimized structure of ScPRu2.

Summary:
calculated formation energy: -373 meV/atom
raw total energy: -95.78 eV per cell
D(E_F): 0.800 states/eV/atom

a b c (Å): 2.8951 2.8951 6.9130
angles (deg): 90.00 90.00 90.00
Last column: nearest neighbours and their distance in Å.
Space group P4mm (No. 99)
One atom of each set of equivalent atoms:
Sc1 0.0000 0.0000 0.0000  4 Ru 2.77, 4 P 2.86, 4 Sc 2.90
P1 0.5000 0.5000 0.2890  4 Ru 2.38
Ru1 0.0000 0.0000 0.4633  4 P 2.38
Ru2 0.5000 0.5000 0.7298  8 Ru 2.75-2.90, 4 Sc 2.77, 1 P 3.05